BaTl8Hg4, relaxed, DFT PBE-GGA; space-group type = I4/mmm (139); raw total energy = -1.789 eV per atom; E_form = -0.09 eV per atom; Fermi-level density of states = 5.665 states/eV/cell
1.0
6.184 0.000 0.000
3.092 8.017 0.000
3.092 0.000 8.017
Ba Tl Hg
1 8 4
direct
0.000 0.000 0.000
0.356 0.644 0.644
0.500 0.789 0.211
0.289 0.211 0.211
0.500 0.211 0.789
0.644 0.356 0.356
0.000 0.644 0.356
0.000 0.356 0.644
0.711 0.789 0.789
0.000 0.500 0.000
0.000 0.000 0.500
0.500 0.000 0.500
0.500 0.500 0.000

***

Ce8Fe2Hg, relaxed, DFT PBE-GGA; space-group type = C2/m (12); raw total energy = -5.889 eV per atom; E_form = -0.01 eV per atom; Fermi-level density of states = 27.606 states/eV/cell
1.0
-3.440 1.761 -3.046
-7.238 -1.636 4.635
-3.137 4.931 5.098
Ce Fe Hg
8 2 1
direct
0.500 0.265 0.469
0.050 0.916 0.774
0.950 0.084 0.226
0.050 0.691 0.226
0.729 0.579 0.000
0.271 0.421 0.000
0.500 0.735 0.531
0.950 0.309 0.774
0.000 0.708 0.583
0.000 0.292 0.417
0.500 0.000 0.000

***

RbCdTc3, relaxed, DFT PBE-GGA; space-group type = Pm-3m (221); raw total energy = -4.264 eV per atom; E above lowest polymorph = 0 meV/atom; E_form = 2.33 eV per atom; Fermi-level density of states = 7.262 states/eV/cell
1.0
5.239 0.000 0.000
0.000 5.239 0.000
0.000 0.000 5.239
Cd Tc Rb
1 3 1
direct
0.000 0.000 0.000
0.000 0.000 0.500
0.000 0.500 0.000
0.500 0.000 0.000
0.500 0.500 0.500